(1)
Here is a relaxed structure of Li3PAu from Alexandria via LeMat-Bulk. Energies are from PBE.

a = 4.599 Å, b = 4.599 Å, c = 4.599 Å
α = 90.00°, β = 90.00°, γ = 90.00°
Space group Pm-3m (No. 221)
Asymmetric unit:
Li (0.000, 0.000, 0.500) [3 per cell]
P (0.000, 0.000, 0.000) [1 per cell]
Au (0.500, 0.500, 0.500) [1 per cell]

Output
The calculation puts the total moment at 0.00 μB per atom. Its total energy is -3.124 eV per atom. The value obtained for the energy of formation from the pure elements is -0.238 eV/atom. The calculation puts the energy above the most stable polymorph in this dataset at 287 meV per atom.

(2)
Here is a relaxed structure of LiPAu2 from Alexandria via LeMat-Bulk. Energies are from PBE.

a = 6.445 Å, b = 6.445 Å, c = 6.445 Å
α = 90.00°, β = 90.00°, γ = 90.00°
Space group F-43m (No. 216)
Asymmetric unit:
Li (0.000, 0.000, 0.000) [4 per cell]
P (0.250, 0.250, 0.750) [4 per cell]
Au (0.000, 0.000, 0.500) [4 per cell]
Au (0.250, 0.250, 0.250) [4 per cell]

Output
The calculation puts the total moment at 0.00 μB per atom. Its total energy is -3.488 eV per atom. The value obtained for the energy of formation from the pure elements is -0.019 eV/atom.

(3)
Here is a relaxed structure of LiPAu2 from Alexandria via LeMat-Bulk. Energies are from PBE.

a = 4.115 Å, b = 4.115 Å, c = 3.758 Å
α = 90.00°, β = 90.00°, γ = 90.00°
Space group P4/mmm (No. 123)
Asymmetric unit:
Li (0.000, 0.000, 0.000) [1 per cell]
P (0.500, 0.500, 0.000) [1 per cell]
Au (0.000, 0.500, 0.500) [2 per cell]

Output
The calculation puts the total moment at 0.00 μB per atom. Its total energy is -3.642 eV per atom. The value obtained for the energy of formation from the pure elements is -0.172 eV/atom.

(4)
Here is a relaxed structure of LiP2Au2 from Alexandria via LeMat-Bulk. Energies are from PBE.

a = 7.038 Å, b = 7.038 Å, c = 3.489 Å
α = 90.00°, β = 90.00°, γ = 90.00°
Space group P4/mbm (No. 127)
Asymmetric unit:
Li (0.000, 0.000, 0.000) [2 per cell]
P (0.163, 0.337, 0.000) [4 per cell]
Au (0.152, 0.652, 0.500) [4 per cell]

Output
The calculation puts the total moment at 0.00 μB per atom. Its total energy is -3.761 eV per atom. The value obtained for the energy of formation from the pure elements is 0.097 eV/atom. The calculation puts the energy above the most stable polymorph in this dataset at 76 meV per atom.

(5)
Here is a relaxed structure of Li2PAu from Alexandria via LeMat-Bulk. Energies are from PBE.

a = 8.780 Å, b = 4.674 Å, c = 8.370 Å
α = 90.00°, β = 119.00°, γ = 90.00°
Space group C2/c (No. 15)
Asymmetric unit:
Li (0.180, 0.072, 0.094) [8 per cell]
P (0.000, 0.181, 0.750) [4 per cell]
Au (0.000, 0.319, 0.250) [4 per cell]

Output
The calculation puts the total moment at 0.00 μB per atom. Its total energy is -3.564 eV per atom. The value obtained for the energy of formation from the pure elements is -0.435 eV/atom.

(6)
Here is a relaxed structure of LiPAu2 from Alexandria via LeMat-Bulk. Energies are from PBE.

a = 3.922 Å, b = 3.959 Å, c = 8.424 Å
α = 90.00°, β = 90.00°, γ = 90.00°
Space group Cmmm (No. 65)
Asymmetric unit:
Li (0.000, 0.000, 0.000) [2 per cell]
P (0.000, 0.000, 0.500) [2 per cell]
Au (0.000, 0.500, 0.232) [4 per cell]

Output
The calculation puts the total moment at 0.00 μB per atom. Its total energy is -3.490 eV per atom. The value obtained for the energy of formation from the pure elements is -0.021 eV/atom.

(7)
Here is a relaxed structure of Li2PAu from Alexandria via LeMat-Bulk. Energies are from PBE.

a = 2.829 Å, b = 3.849 Å, c = 5.308 Å
α = 90.00°, β = 90.36°, γ = 90.00°
Space group P2/m (No. 10)
Asymmetric unit:
Li (0.004, 0.000, 0.272) [2 per cell]
P (0.500, 0.500, 0.500) [1 per cell]
Au (0.500, 0.500, 0.000) [1 per cell]

Output
The calculation puts the total moment at 0.00 μB per atom. Its total energy is -3.579 eV per atom. The value obtained for the energy of formation from the pure elements is -0.451 eV/atom.

(8)
Here is a relaxed structure of Li6P2Au from Alexandria via LeMat-Bulk. Energies are from PBE.

a = 7.336 Å, b = 4.232 Å, c = 8.910 Å
α = 90.00°, β = 90.21°, γ = 90.00°
Space group C2/m (No. 12)
Asymmetric unit:
Li (0.001, 0.000, 0.207) [4 per cell]
Li (0.167, 0.500, 0.080) [4 per cell]
Li (0.167, 0.500, 0.371) [4 per cell]
P (0.166, 0.500, 0.793) [4 per cell]
Au (0.000, 0.000, 0.500) [2 per cell]

Output
The calculation puts the total moment at 0.00 μB per atom. Its total energy is -3.337 eV per atom. The value obtained for the energy of formation from the pure elements is -0.495 eV/atom.

(9)
Here is a relaxed structure of Li2PAu from Alexandria via LeMat-Bulk. Energies are from PBE.

a = 7.605 Å, b = 7.262 Å, c = 4.798 Å
α = 90.00°, β = 90.66°, γ = 90.00°
Space group Cm (No. 8)
Asymmetric unit:
Li (0.000, 0.000, 0.000) [2 per cell]
Li (0.042, 0.248, 0.441) [4 per cell]
Li (0.096, 0.500, 0.020) [2 per cell]
P (0.292, 0.500, 0.554) [2 per cell]
P (0.295, 0.000, 0.225) [2 per cell]
Au (0.295, 0.231, 0.866) [4 per cell]

Output
The calculation puts the total moment at 0.00 μB per atom. Its total energy is -3.679 eV per atom. The value obtained for the energy of formation from the pure elements is -0.550 eV/atom.

(10)
Here is a relaxed structure of Li5P2Au from Alexandria via LeMat-Bulk. Energies are from PBE.

a = 4.3983 Å, b = 4.3983 Å, c = 16.1811 Å
α = 90.00°, β = 90.00°, γ = 120.00°
Space group P6_3/mmc (No. 194)
Asymmetric unit:
Li (0.0000, 0.0000, 0.1241) [4 per cell]
Li (0.3333, 0.6667, 0.0517) [4 per cell]
Li (0.3333, 0.6667, 0.2500) [2 per cell]
P (0.3333, 0.6667, 0.6041) [4 per cell]
Au (0.3333, 0.6667, 0.7500) [2 per cell]

Output
The calculation puts the total moment at 0.00 μB per atom. Its total energy is -3.562 eV per atom. The value obtained for the energy of formation from the pure elements is -0.603 eV/atom.

(11)
Here is a relaxed structure of Li2PAu from Alexandria via LeMat-Bulk. Energies are from PBE.

a = 7.640 Å, b = 6.110 Å, c = 5.877 Å
α = 90.00°, β = 90.00°, γ = 90.00°
Space group Cmc2_1 (No. 36)
Asymmetric unit:
Li (0.187, 0.154, 0.000) [8 per cell]
P (0.000, 0.188, 0.441) [4 per cell]
Au (0.000, 0.493, 0.702) [4 per cell]

Output
The calculation puts the total moment at 0.00 μB per atom. Its total energy is -3.703 eV per atom. The value obtained for the energy of formation from the pure elements is -0.574 eV/atom.

(12)
Here is a relaxed structure of Li4PAu from Alexandria via LeMat-Bulk. Energies are from PBE.

a = 2.764 Å, b = 4.145 Å, c = 7.381 Å
α = 90.00°, β = 90.00°, γ = 90.00°
Space group Pmmm (No. 47)
Asymmetric unit:
Li (0.000, 0.000, 0.156) [2 per cell]
Li (0.000, 0.500, 0.322) [2 per cell]
P (0.500, 0.500, 0.000) [1 per cell]
Au (0.500, 0.000, 0.500) [1 per cell]

Output
The calculation puts the total moment at 0.00 μB per atom. Its total energy is -3.186 eV per atom. The value obtained for the energy of formation from the pure elements is -0.462 eV/atom. The calculation puts the energy above the most stable polymorph in this dataset at 0 meV per atom.

(13)
Here is a relaxed structure of Li2PAu from Alexandria via LeMat-Bulk. Energies are from PBE.

a = 9.761 Å, b = 2.823 Å, c = 4.602 Å
α = 90.00°, β = 104.97°, γ = 90.00°
Space group Cm (No. 8)
Asymmetric unit:
Li (0.000, 0.000, 0.000) [2 per cell]
Li (0.197, 0.000, 0.613) [2 per cell]
P (0.235, 0.500, 0.114) [2 per cell]
Au (0.445, 0.000, 0.470) [2 per cell]

Output
The calculation puts the total moment at 0.00 μB per atom. Its total energy is -3.530 eV per atom. The value obtained for the energy of formation from the pure elements is -0.401 eV/atom.

(14)
Here is a relaxed structure of LiPAu2 from Alexandria via LeMat-Bulk. Energies are from PBE.

a = 3.953 Å, b = 3.975 Å, c = 8.264 Å
α = 90.00°, β = 90.00°, γ = 90.00°
Space group Cmm2 (No. 35)
Asymmetric unit:
Li (0.000, 0.000, 0.000) [2 per cell]
P (0.000, 0.500, 0.223) [2 per cell]
Au (0.000, 0.000, 0.481) [2 per cell]
Au (0.000, 0.500, 0.764) [2 per cell]

Output
The calculation puts the total moment at 0.00 μB per atom. Its total energy is -3.513 eV per atom. The value obtained for the energy of formation from the pure elements is -0.044 eV/atom.

(15)
Here is a relaxed structure of Li2PAu from Alexandria via LeMat-Bulk. Energies are from PBE.

a = 4.363 Å, b = 4.363 Å, c = 3.013 Å
α = 90.00°, β = 90.00°, γ = 90.00°
Space group P4/mmm (No. 123)
Asymmetric unit:
Li (0.000, 0.500, 0.000) [2 per cell]
P (0.000, 0.000, 0.500) [1 per cell]
Au (0.500, 0.500, 0.500) [1 per cell]

Output
The calculation puts the total moment at 0.00 μB per atom. Its total energy is -3.517 eV per atom. The value obtained for the energy of formation from the pure elements is -0.388 eV/atom.

(16)
Here is a relaxed structure of Li2PAu from Alexandria via LeMat-Bulk. Energies are from PBE.

a = 2.672 Å, b = 4.266 Å, c = 5.403 Å
α = 90.00°, β = 90.00°, γ = 90.00°
Space group Pmm2 (No. 25)
Asymmetric unit:
Li (0.000, 0.000, 0.000) [1 per cell]
Li (0.500, 0.500, 0.317) [1 per cell]
P (0.000, 0.000, 0.481) [1 per cell]
Au (0.500, 0.500, 0.825) [1 per cell]

Output
The calculation puts the total moment at 0.00 μB per atom. Its total energy is -3.429 eV per atom. The value obtained for the energy of formation from the pure elements is -0.301 eV/atom.

(17)
Here is a relaxed structure of Li2PAu from Alexandria via LeMat-Bulk. Energies are from PBE.

a = 4.318 Å, b = 7.605 Å, c = 4.838 Å
α = 90.00°, β = 116.35°, γ = 90.00°
Space group P2_1 (No. 4)
Asymmetric unit:
Li (0.026, 0.000, 0.069) [2 per cell]
Li (0.258, 0.347, 0.491) [2 per cell]
P (0.322, 0.999, 0.675) [2 per cell]
Au (0.481, 0.730, 0.950) [2 per cell]

Output
The calculation puts the total moment at 0.00 μB per atom. Its total energy is -3.687 eV per atom. The value obtained for the energy of formation from the pure elements is -0.558 eV/atom.

(18)
Here is a relaxed structure of LiPAu2 from Alexandria via LeMat-Bulk. Energies are from PBE.

a = 2.851 Å, b = 4.250 Å, c = 5.588 Å
α = 90.00°, β = 90.11°, γ = 90.00°
Space group P2/m (No. 10)
Asymmetric unit:
Li (0.000, 0.000, 0.000) [1 per cell]
P (0.500, 0.000, 0.500) [1 per cell]
Au (0.500, 0.500, 0.242) [2 per cell]

Output
The calculation puts the total moment at 0.00 μB per atom. Its total energy is -3.637 eV per atom. The value obtained for the energy of formation from the pure elements is -0.167 eV/atom.

(19)
Here is a relaxed structure of LiPAu2 from Alexandria via LeMat-Bulk. Energies are from PBE.

a = 3.481 Å, b = 3.481 Å, c = 5.336 Å
α = 90.00°, β = 90.00°, γ = 90.00°
Space group P4mm (No. 99)
Asymmetric unit:
Li (0.000, 0.000, 0.000) [1 per cell]
P (0.500, 0.500, 0.281) [1 per cell]
Au (0.000, 0.000, 0.476) [1 per cell]
Au (0.500, 0.500, 0.799) [1 per cell]

Output
The calculation puts the total moment at 0.00 μB per atom. Its total energy is -3.574 eV per atom. The value obtained for the energy of formation from the pure elements is -0.104 eV/atom.

(20)
Here is a relaxed structure of LiPAu2 from Alexandria via LeMat-Bulk. Energies are from PBE.

a = 3.407 Å, b = 4.329 Å, c = 9.277 Å
α = 90.00°, β = 90.00°, γ = 90.00°
Space group Immm (No. 71)
Asymmetric unit:
Li (0.000, 0.000, 0.000) [2 per cell]
P (0.000, 0.000, 0.500) [2 per cell]
Au (0.000, 0.500, 0.207) [4 per cell]

Output
The calculation puts the total moment at 0.00 μB per atom. Its total energy is -3.597 eV per atom. The value obtained for the energy of formation from the pure elements is -0.127 eV/atom.

(21)
Here is a relaxed structure of Li2PAu from Alexandria via LeMat-Bulk. Energies are from PBE.

a = 3.799 Å, b = 3.819 Å, c = 3.965 Å
α = 90.00°, β = 90.10°, γ = 90.00°
Space group P2/m (No. 10)
Asymmetric unit:
Li (0.000, 0.000, 0.000) [1 per cell]
Li (0.500, 0.500, 0.000) [1 per cell]
P (0.000, 0.500, 0.500) [1 per cell]
Au (0.500, 0.000, 0.500) [1 per cell]

Output
The calculation puts the total moment at 0.00 μB per atom. Its total energy is -3.572 eV per atom. The value obtained for the energy of formation from the pure elements is -0.444 eV/atom.

(22)
Here is a relaxed structure of Li2PAu from Alexandria via LeMat-Bulk. Energies are from PBE.

a = 9.444 Å, b = 9.444 Å, c = 4.647 Å
α = 90.00°, β = 90.00°, γ = 90.00°
Space group I-42d (No. 122)
Asymmetric unit:
Li (0.011, 0.250, 0.125) [8 per cell]
P (0.000, 0.000, 0.000) [4 per cell]
Au (0.000, 0.000, 0.500) [4 per cell]

Output
The calculation puts the total moment at 0.00 μB per atom. Its total energy is -3.477 eV per atom. The value obtained for the energy of formation from the pure elements is -0.348 eV/atom.

(23)
Here is a relaxed structure of Li2PAu from Alexandria via LeMat-Bulk. Energies are from PBE.

a = 3.319 Å, b = 3.319 Å, c = 5.575 Å
α = 90.00°, β = 90.00°, γ = 90.00°
Space group P4mm (No. 99)
Asymmetric unit:
Li (0.000, 0.000, 0.000) [1 per cell]
Li (0.500, 0.500, 0.278) [1 per cell]
P (0.000, 0.000, 0.504) [1 per cell]
Au (0.500, 0.500, 0.769) [1 per cell]

Output
The calculation puts the total moment at 0.00 μB per atom. Its total energy is -3.319 eV per atom. The value obtained for the energy of formation from the pure elements is -0.190 eV/atom.

(24)
Here is a relaxed structure of Li2PAu from Alexandria via LeMat-Bulk. Energies are from PBE.

a = 4.298 Å, b = 7.520 Å, c = 4.991 Å
α = 90.00°, β = 115.42°, γ = 90.00°
Space group Pm (No. 6)
Asymmetric unit:
Li (0.000, 0.000, 0.000) [1 per cell]
Li (0.033, 0.500, 0.059) [1 per cell]
Li (0.271, 0.195, 0.544) [2 per cell]
P (0.397, 0.500, 0.783) [1 per cell]
P (0.715, 0.000, 0.434) [1 per cell]
Au (0.563, 0.256, 0.123) [2 per cell]

Output
The calculation puts the total moment at 0.00 μB per atom. Its total energy is -3.666 eV per atom. The value obtained for the energy of formation from the pure elements is -0.538 eV/atom.

(25)
Here is a relaxed structure of LiPAu2 from Alexandria via LeMat-Bulk. Energies are from PBE.

a = 4.925 Å, b = 4.925 Å, c = 15.050 Å
α = 90.00°, β = 90.00°, γ = 90.00°
Space group I-42d (No. 122)
Asymmetric unit:
Li (0.000, 0.000, 0.000) [4 per cell]
P (0.000, 0.000, 0.500) [4 per cell]
Au (0.155, 0.250, 0.625) [8 per cell]

Output
The calculation puts the total moment at 0.00 μB per atom. Its total energy is -3.611 eV per atom. The value obtained for the energy of formation from the pure elements is -0.141 eV/atom.